# 1
The following is a PBE calculation of a relaxed structure of CdFeGePt, from OQMD.

a = 6.3563 Å, b = 6.3563 Å, c = 6.3563 Å
α = 90.00°, β = 90.00°, γ = 90.00°
Last column: nearest neighbours and their distance in Å.
Space group F-43m (No. 216)
Symmetry-distinct sites (fractional):
Cd 0.0000 0.0000 0.0000 [4 per cell]  4 Pt 2.75, 4 Fe 2.75
Fe 0.2500 0.2500 0.7500 [4 per cell]  4 Ge 2.75, 4 Cd 2.75
Ge 0.0000 0.0000 0.5000 [4 per cell]  4 Fe 2.75, 4 Pt 2.75
Pt 0.2500 0.2500 0.2500 [4 per cell]  4 Ge 2.75, 4 Cd 2.75

Output
**Polymorph energy (0 for the lowest one)**: 0.0 meV per atom
**E_tot**: -0.36072 Ry per atom

=====

# 2
The following is a PBE calculation of a relaxed structure of SbMo4PC2, from OQMD.

a = 3.2512 Å, b = 3.2512 Å, c = 12.2221 Å
α = 90.00°, β = 90.00°, γ = 120.00°
Last column: nearest neighbours and their distance in Å.
Space group P-6m2 (No. 187)
Symmetry-distinct sites (fractional):
Sb 0.0000 0.0000 0.0000 [1 per cell]  6 Mo 2.97, 6 Sb 3.25
Mo 0.0000 0.0000 0.3646 [2 per cell]  3 C 2.25, 3 P 2.50
Mo 0.3333 0.6667 0.1885 [2 per cell]  3 C 2.09
P 0.3333 0.6667 0.5000 [1 per cell]  6 Mo 2.50
C 0.6667 0.3333 0.2637 [2 per cell]  6 Mo 2.09-2.25

Output
**E_tot**: -0.66012 Ry per atom

=====

# 3
The following is a PBE calculation of a relaxed structure of TmRePd, from OQMD.

a = 6.4071 Å, b = 6.4071 Å, c = 6.4071 Å
α = 90.00°, β = 90.00°, γ = 90.00°
Last column: nearest neighbours and their distance in Å.
Space group F-43m (No. 216)
Symmetry-distinct sites (fractional):
Tm 0.0000 0.0000 0.0000 [4 per cell]  4 Re 2.77, 4 Pd 2.77
Re 0.2500 0.2500 0.2500 [4 per cell]  4 Tm 2.77
Pd 0.2500 0.2500 0.7500 [4 per cell]  4 Tm 2.77

Output
**Polymorph energy (0 for the lowest one)**: 532.1 meV per atom
**Energy relative to the elements**: 23.9 kcal/mol of atoms
**E_tot**: -0.46476 Ry per atom

=====

# 4
The following is a PBE calculation of a relaxed structure of HoAsPbO, from OQMD.

a = 3.9427 Å, b = 9.0009 Å, c = 5.9240 Å
α = 90.00°, β = 90.00°, γ = 90.00°
Last column: nearest neighbours and their distance in Å.
Space group Pmc2_1 (No. 26)
Symmetry-distinct sites (fractional):
Ho 0.0000 0.1610 0.0000 [2 per cell]  2 O 2.16
As 0.0000 0.1563 0.4918 [2 per cell]  2 Pb 2.77, 3 Ho 2.86-3.01
Pb 0.5000 0.3610 0.5955 [2 per cell]  1 O 2.40
O 0.5000 0.2560 0.9678 [2 per cell]  2 Ho 2.16, 1 Pb 2.40

Output
**Polymorph energy (0 for the lowest one)**: 0.0 meV per atom
**E_tot**: -0.43347 Ry per atom

=====

# 5
The following is a PBE calculation of a relaxed structure of Ba3PrAu4, from OQMD.

a = 6.2384 Å, b = 5.0371 Å, c = 7.9543 Å
α = 90.00°, β = 92.31°, γ = 90.00°
Last column: nearest neighbours and their distance in Å.
Space group Pm (No. 6)
Symmetry-distinct sites (fractional):
Ba 0.0000 0.0000 0.0000 [1 per cell]  7 Au 3.30-3.50
Ba 0.2107 0.0000 0.4957 [1 per cell]  7 Au 3.24-3.39
Ba 0.4995 0.5000 0.8722 [1 per cell]  7 Au 3.32-3.54
Pr 0.7120 0.5000 0.3660 [1 per cell]  7 Au 3.14-3.30
Au 0.2071 0.5000 0.2333 [1 per cell]  2 Au 3.26, 5 Ba 3.27-3.46, 2 Pr 3.28-3.30
Au 0.5260 0.0000 0.1710 [1 per cell]  2 Pr 3.15, 2 Au 3.26, 5 Ba 3.30-3.50
Au 0.7131 0.0000 0.6152 [1 per cell]  2 Au 3.09, 2 Pr 3.20, 2 Ba 3.24-3.28
Au 0.9803 0.5000 0.7083 [1 per cell]  2 Au 3.09, 1 Pr 3.14, 6 Ba 3.32-3.44

Output
**E_tot**: -0.26833 Ry per atom

=====

# 6
The following is a PBE calculation of a relaxed structure of BaCdNO, from OQMD.

a = 3.8546 Å, b = 6.5914 Å, c = 6.1425 Å
α = 90.00°, β = 90.00°, γ = 90.00°
Last column: nearest neighbours and their distance in Å.
Space group Pmc2_1 (No. 26)
Symmetry-distinct sites (fractional):
Ba 0.0000 0.2310 0.0000 [2 per cell]  2 O 2.56-2.73
Cd 0.5000 0.2411 0.4831 [2 per cell]  2 N 2.18-2.24, 2 O 2.21
N 0.5000 0.0104 0.7366 [2 per cell]  2 Cd 2.18-2.24
O 0.0000 0.3895 0.4111 [2 per cell]  2 Cd 2.21

Output
**Polymorph energy (0 for the lowest one)**: 85.4 meV per atom
**E_tot**: -0.33471 Ry per atom